# 1
# NiRh4 GGA-PBE relaxed
# SG = Pm-3m (221)
# formation enthalpy at 0 K = 1.2552 eV/atom
data_NiRh4
_chemical_formula_sum 'Ni1 Rh4'
_space_group_name_H-M_alt 'P 1'
_space_group_IT_number 1
_space_group_name_Hall 'P 1'
_cell_length_a 4.4125
_cell_length_b 4.4125
_cell_length_c 4.4125
_cell_angle_alpha 90.00
_cell_angle_beta 90.00
_cell_angle_gamma 90.00
loop_
_atom_site_label
_atom_site_type_symbol
_atom_site_fract_x
_atom_site_fract_y
_atom_site_fract_z
_atom_site_occupancy
Ni1 Ni 0.0000 0.0000 0.0000 1
Rh1 Rh 0.0000 0.0000 0.5000 1
Rh2 Rh 0.0000 0.5000 0.0000 1
Rh3 Rh 0.5000 0.0000 0.0000 1
Rh4 Rh 0.5000 0.5000 0.5000 1

=====

# 2
# Ni12RuRh6 GGA-PBE relaxed
# SG = R-3 (148)
# formation enthalpy at 0 K = 0.1967 eV/atom
data_Ni12RuRh6
_chemical_formula_sum 'Ni12 Ru1 Rh6'
_space_group_name_H-M_alt 'P 1'
_space_group_IT_number 1
_space_group_name_Hall 'P 1'
_cell_length_a 6.2520
_cell_length_b 6.2520
_cell_length_c 6.2520
_cell_angle_alpha 92.47
_cell_angle_beta 92.47
_cell_angle_gamma 92.47
loop_
_atom_site_label
_atom_site_type_symbol
_atom_site_fract_x
_atom_site_fract_y
_atom_site_fract_z
_atom_site_occupancy
Ni1 Ni 0.0349 0.2864 0.9533 1
Ni2 Ni 0.0467 0.9651 0.7136 1
Ni3 Ni 0.1270 0.3559 0.4432 1
Ni4 Ni 0.2864 0.9533 0.0349 1
Ni5 Ni 0.3559 0.4432 0.1270 1
Ni6 Ni 0.4432 0.1270 0.3559 1
Ni7 Ni 0.5568 0.8730 0.6441 1
Ni8 Ni 0.6441 0.5568 0.8730 1
Ni9 Ni 0.7136 0.0467 0.9651 1
Ni10 Ni 0.8730 0.6441 0.5568 1
Ni11 Ni 0.9533 0.0349 0.2864 1
Ni12 Ni 0.9651 0.7136 0.0467 1
Ru1 Ru 0.5000 0.5000 0.5000 1
Rh1 Rh 0.2158 0.7642 0.3813 1
Rh2 Rh 0.2358 0.6187 0.7842 1
Rh3 Rh 0.3813 0.2158 0.7642 1
Rh4 Rh 0.6187 0.7842 0.2358 1
Rh5 Rh 0.7642 0.3813 0.2158 1
Rh6 Rh 0.7842 0.2358 0.6187 1

=====

# 3
# Ni4RuRh GGA-PBE relaxed
# SG = F-43m (216)
# formation enthalpy at 0 K = 0.1351 eV/atom
data_Ni4RuRh
_chemical_formula_sum 'Ni4 Ru1 Rh1'
_space_group_name_H-M_alt 'P 1'
_space_group_IT_number 1
_space_group_name_Hall 'P 1'
_cell_length_a 4.6880
_cell_length_b 4.6880
_cell_length_c 4.6880
_cell_angle_alpha 60.00
_cell_angle_beta 60.00
_cell_angle_gamma 60.00
loop_
_atom_site_label
_atom_site_type_symbol
_atom_site_fract_x
_atom_site_fract_y
_atom_site_fract_z
_atom_site_occupancy
Ni1 Ni 0.1248 0.1248 0.1248 1
Ni2 Ni 0.1248 0.1248 0.6256 1
Ni3 Ni 0.1248 0.6256 0.1248 1
Ni4 Ni 0.6256 0.1248 0.1248 1
Ru1 Ru 0.5000 0.5000 0.5000 1
Rh1 Rh 0.7500 0.7500 0.7500 1

=====

# 4
# NiRuRh2 GGA-PBE relaxed
# SG = Cmmm (65)
# formation enthalpy at 0 K = 0.0967 eV/atom
data_NiRuRh2
_chemical_formula_sum 'Ni1 Ru1 Rh2'
_space_group_name_H-M_alt 'P 1'
_space_group_IT_number 1
_space_group_name_Hall 'P 1'
_cell_length_a 4.6105
_cell_length_b 4.6105
_cell_length_c 2.6884
_cell_angle_alpha 90.00
_cell_angle_beta 90.00
_cell_angle_gamma 109.12
loop_
_atom_site_label
_atom_site_type_symbol
_atom_site_fract_x
_atom_site_fract_y
_atom_site_fract_z
_atom_site_occupancy
Ni1 Ni 0.0000 0.0000 0.0000 1
Ru1 Ru 0.5000 0.5000 0.0000 1
Rh1 Rh 0.0000 0.5000 0.5000 1
Rh2 Rh 0.5000 0.0000 0.5000 1

=====

# 5
# Ni8RuRh6 GGA-PBE relaxed
# SG = R-3 (148)
# formation enthalpy at 0 K = 0.2689 eV/atom
data_Ni8RuRh6
_chemical_formula_sum 'Ni8 Ru1 Rh6'
_space_group_name_H-M_alt 'P 1'
_space_group_IT_number 1
_space_group_name_Hall 'P 1'
_cell_length_a 6.0670
_cell_length_b 6.0670
_cell_length_c 6.0670
_cell_angle_alpha 72.19
_cell_angle_beta 72.19
_cell_angle_gamma 72.19
loop_
_atom_site_label
_atom_site_type_symbol
_atom_site_fract_x
_atom_site_fract_y
_atom_site_fract_z
_atom_site_occupancy
Ni1 Ni 0.0499 0.8581 0.3934 1
Ni2 Ni 0.1419 0.6066 0.9501 1
Ni3 Ni 0.2363 0.2363 0.2363 1
Ni4 Ni 0.3934 0.0499 0.8581 1
Ni5 Ni 0.6066 0.9501 0.1419 1
Ni6 Ni 0.7637 0.7637 0.7637 1
Ni7 Ni 0.8581 0.3934 0.0499 1
Ni8 Ni 0.9501 0.1419 0.6066 1
Ru1 Ru 0.0000 0.0000 0.0000 1
Rh1 Rh 0.1755 0.4279 0.6157 1
Rh2 Rh 0.3843 0.8245 0.5721 1
Rh3 Rh 0.4279 0.6157 0.1755 1
Rh4 Rh 0.5721 0.3843 0.8245 1
Rh5 Rh 0.6157 0.1755 0.4279 1
Rh6 Rh 0.8245 0.5721 0.3843 1

=====

# 6
# NiRuRh2 GGA-PBE relaxed
# SG = Pmmm (47)
# formation enthalpy at 0 K = 0.0315 eV/atom
data_NiRuRh2
_chemical_formula_sum 'Ni1 Ru1 Rh2'
_space_group_name_H-M_alt 'P 1'
_space_group_IT_number 1
_space_group_name_Hall 'P 1'
_cell_length_a 2.6938
_cell_length_b 3.7444
_cell_length_c 5.3124
_cell_angle_alpha 90.00
_cell_angle_beta 90.00
_cell_angle_gamma 90.00
loop_
_atom_site_label
_atom_site_type_symbol
_atom_site_fract_x
_atom_site_fract_y
_atom_site_fract_z
_atom_site_occupancy
Ni1 Ni 0.0000 0.0000 0.0000 1
Ru1 Ru 0.0000 0.0000 0.5000 1
Rh1 Rh 0.5000 0.5000 0.2461 1
Rh2 Rh 0.5000 0.5000 0.7539 1